# Li7Mn2Co3O12, relaxed, DFT PBE with a Hubbard U
data_Li7Mn2Co3O12
_space_group_name_H-M_alt 'P 1'
_space_group_IT_number 1
_cell_length_a 2.909
_cell_length_b 8.206
_cell_length_c 9.742
_cell_angle_alpha 65.84
_cell_angle_beta 88.56
_cell_angle_gamma 89.91
loop_
_space_group_symop_operation_xyz
'x,y,z'
loop_
_atom_site_label
_atom_site_type_symbol
_atom_site_fract_x
_atom_site_fract_y
_atom_site_fract_z
Li1 Li 0.000 0.000 0.000
Li2 Li 0.001 0.508 0.003
Li3 Li 0.034 0.171 0.669
Li4 Li 0.494 0.688 0.146
Li5 Li 0.511 0.318 0.834
Li6 Li 0.525 0.006 0.503
Li7 Li 0.969 0.839 0.310
Mn1 Mn 0.027 0.667 0.663
Mn2 Mn 0.487 0.166 0.161
Co1 Co 0.497 0.502 0.491
Co2 Co 0.514 0.858 0.838
Co3 Co 0.974 0.341 0.324
O1 O 0.004 0.754 0.986
O2 O 0.022 0.896 0.665
O3 O 0.046 0.435 0.649
O4 O 0.460 0.276 0.470
O5 O 0.484 0.940 0.166
O6 O 0.485 0.402 0.179
O7 O 0.517 0.593 0.807
O8 O 0.520 0.084 0.819
O9 O 0.539 0.733 0.513
O10 O 0.948 0.569 0.337
O11 O 0.976 0.109 0.313
O12 O 0.998 0.249 0.017
# Raw total energy in eV/atom: -5.8714